[1]
Compound: ZrNb3Pd
Source: the Alexandria database
Functional: GGA-PBE
Structure: optimized geometry

## Properties
Formation energy from the elements   1081 meV/atom
Theoretical density   6.87 g/cm³
Energy above the lowest structure with this stoichiometry   0.0000 eV/atom
Electronic total energy   -7.709 eV/atom

```
data_ZrNb3Pd
_chemical_formula_sum 'Zr1 Nb3 Pd1'
_cell_length_a 4.865
_cell_length_b 4.865
_cell_length_c 4.865
_cell_angle_alpha 90.00
_cell_angle_beta 90.00
_cell_angle_gamma 90.00
_symmetry_space_group_name_H-M 'P m -3 m'
_symmetry_Int_Tables_number 221
_symmetry_space_group_name_Hall '-P 4 2 3'
loop_
_atom_site_label
_atom_site_type_symbol
_atom_site_fract_x
_atom_site_fract_y
_atom_site_fract_z
Zr1 Zr 0.000 0.000 0.000
Nb1 Nb 0.000 0.500 0.500
Pd1 Pd 0.500 0.500 0.500
```

---

[2]
Compound: Zr2NbPd
Source: the Alexandria database
Functional: GGA-PBE
Structure: optimized geometry

## Properties
Formation energy from the elements   335 meV/atom
Theoretical density   7.64 g/cm³
Energy above the lowest structure with this stoichiometry   0.6802 eV/atom
Electronic total energy   -7.755 eV/atom

```
data_Zr2NbPd
_chemical_formula_sum 'Zr8 Nb4 Pd4'
_cell_length_a 4.086
_cell_length_b 4.086
_cell_length_c 19.868
_cell_angle_alpha 90.00
_cell_angle_beta 90.00
_cell_angle_gamma 90.00
_symmetry_space_group_name_H-M 'I -4 2 d'
_symmetry_Int_Tables_number 122
_symmetry_space_group_name_Hall 'I -4 2bw'
loop_
_atom_site_label
_atom_site_type_symbol
_atom_site_fract_x
_atom_site_fract_y
_atom_site_fract_z
Zr1 Zr 0.249 0.250 0.125
Nb1 Nb 0.000 0.000 0.000
Pd1 Pd 0.000 0.000 0.500
```

---

[3]
Compound: ZrNbPd4
Source: the Alexandria database
Functional: GGA-PBE
Structure: optimized geometry

## Properties
Formation energy from the elements   -369 meV/atom
Theoretical density   9.99 g/cm³
Energy above the lowest structure with this stoichiometry   0.0734 eV/atom
Electronic total energy   -6.934 eV/atom

```
data_ZrNbPd4
_chemical_formula_sum 'Zr2 Nb2 Pd8'
_cell_length_a 7.199
_cell_length_b 7.892
_cell_length_c 4.589
_cell_angle_alpha 90.00
_cell_angle_beta 128.97
_cell_angle_gamma 90.00
_symmetry_space_group_name_H-M 'C 1 2/m 1'
_symmetry_Int_Tables_number 12
loop_
_symmetry_equiv_pos_as_xyz
'x,y,z'
'-x,-y,-z'
'-x,y,-z'
'x,-y,z'
'x+1/2,y+1/2,z'
'-x+1/2,-y+1/2,-z'
'-x+1/2,y+1/2,-z'
'x+1/2,-y+1/2,z'
loop_
_atom_site_label
_atom_site_type_symbol
_atom_site_fract_x
_atom_site_fract_y
_atom_site_fract_z
Zr1 Zr 0.000 0.000 0.000
Nb1 Nb 0.000 0.500 0.500
Pd1 Pd 0.247 0.333 0.247
```

---

[4]
Compound: Zr2NbPd
Source: the Alexandria database
Functional: GGA-PBE
Structure: optimized geometry

## Properties
Formation energy from the elements   -345 meV/atom
Theoretical density   8.09 g/cm³
Energy above the lowest structure with this stoichiometry   0.0000 eV/atom
Electronic total energy   -8.435 eV/atom

```
data_Zr2NbPd
_chemical_formula_sum 'Zr2 Nb1 Pd1'
_cell_length_a 3.386
_cell_length_b 3.386
_cell_length_c 6.838
_cell_angle_alpha 90.00
_cell_angle_beta 90.00
_cell_angle_gamma 90.00
_symmetry_space_group_name_H-M 'P 4/m m m'
_symmetry_Int_Tables_number 123
_symmetry_space_group_name_Hall '-P 4 2'
loop_
_atom_site_label
_atom_site_type_symbol
_atom_site_fract_x
_atom_site_fract_y
_atom_site_fract_z
Zr1 Zr 0.000 0.000 0.250
Nb1 Nb 0.500 0.500 0.000
Pd1 Pd 0.500 0.500 0.500
```

---

[5]
Compound: ZrNb2Pd2
Source: the Alexandria database
Functional: GGA-PBE
Structure: optimized geometry

## Properties
Formation energy from the elements   -156 meV/atom
Theoretical density   8.95 g/cm³
Energy above the lowest structure with this stoichiometry   0.0000 eV/atom
Electronic total energy   -7.970 eV/atom

```
data_ZrNb2Pd2
_chemical_formula_sum 'Zr2 Nb4 Pd4'
_cell_length_a 7.963
_cell_length_b 7.963
_cell_length_c 2.867
_cell_angle_alpha 90.00
_cell_angle_beta 90.00
_cell_angle_gamma 90.00
_symmetry_space_group_name_H-M 'P 4/m b m'
_symmetry_Int_Tables_number 127
_symmetry_space_group_name_Hall '-P 4 2ab'
loop_
_atom_site_label
_atom_site_type_symbol
_atom_site_fract_x
_atom_site_fract_y
_atom_site_fract_z
Zr1 Zr 0.000 0.000 0.000
Nb1 Nb 0.173 0.327 0.500
Pd1 Pd 0.124 0.624 0.000
```

---

[6]
Compound: ZrNb2Pd2
Source: the Alexandria database
Functional: GGA-PBE
Structure: optimized geometry

## Properties
Formation energy from the elements   -109 meV/atom
Theoretical density   8.92 g/cm³
Energy above the lowest structure with this stoichiometry   0.0463 eV/atom
Electronic total energy   -7.924 eV/atom

```
data_ZrNb2Pd2
_chemical_formula_sum 'Zr2 Nb4 Pd4'
_cell_length_a 8.023
_cell_length_b 8.023
_cell_length_c 2.835
_cell_angle_alpha 90.00
_cell_angle_beta 90.00
_cell_angle_gamma 90.00
_symmetry_space_group_name_H-M 'P 4/m b m'
_symmetry_Int_Tables_number 127
_symmetry_space_group_name_Hall '-P 4 2ab'
loop_
_atom_site_label
_atom_site_type_symbol
_atom_site_fract_x
_atom_site_fract_y
_atom_site_fract_z
Zr1 Zr 0.000 0.000 0.000
Nb1 Nb 0.121 0.379 0.000
Pd1 Pd 0.176 0.676 0.500
```

---

[7]
Compound: ZrNb2Pd9
Source: the Alexandria database
Functional: GGA-PBE
Structure: optimized geometry

## Properties
Formation energy from the elements   -446 meV/atom
Theoretical density   10.66 g/cm³
Energy above the lowest structure with this stoichiometry   0.0903 eV/atom
Electronic total energy   -6.731 eV/atom

```
data_ZrNb2Pd9
_chemical_formula_sum 'Zr1 Nb2 Pd9'
_cell_length_a 4.001
_cell_length_b 4.001
_cell_length_c 12.011
_cell_angle_alpha 90.00
_cell_angle_beta 90.00
_cell_angle_gamma 90.00
_symmetry_space_group_name_H-M 'P 4/m m m'
_symmetry_Int_Tables_number 123
_symmetry_space_group_name_Hall '-P 4 2'
loop_
_atom_site_label
_atom_site_type_symbol
_atom_site_fract_x
_atom_site_fract_y
_atom_site_fract_z
Zr1 Zr 0.000 0.000 0.000
Nb1 Nb 0.000 0.000 0.335
Pd1 Pd 0.000 0.500 0.170
Pd2 Pd 0.000 0.500 0.500
Pd3 Pd 0.500 0.500 0.000
Pd4 Pd 0.500 0.500 0.335
```

---

[8]
Compound: ZrNb2Pd9
Source: the Alexandria database
Functional: GGA-PBE
Structure: optimized geometry

## Properties
Formation energy from the elements   -536 meV/atom
Theoretical density   10.69 g/cm³
Energy above the lowest structure with this stoichiometry   0.0000 eV/atom
Electronic total energy   -6.822 eV/atom

```
data_ZrNb2Pd9
_chemical_formula_sum 'Zr2 Nb4 Pd18'
_cell_length_a 3.964
_cell_length_b 3.964
_cell_length_c 24.411
_cell_angle_alpha 90.00
_cell_angle_beta 90.00
_cell_angle_gamma 90.00
_symmetry_space_group_name_H-M 'I 4/m m m'
_symmetry_Int_Tables_number 139
_symmetry_space_group_name_Hall '-I 4 2'
loop_
_atom_site_label
_atom_site_type_symbol
_atom_site_fract_x
_atom_site_fract_y
_atom_site_fract_z
Zr1 Zr 0.000 0.000 0.000
Nb1 Nb 0.000 0.000 0.333
Pd1 Pd 0.000 0.000 0.168
Pd2 Pd 0.000 0.000 0.500
Pd3 Pd 0.000 0.500 0.086
Pd4 Pd 0.000 0.500 0.250
```

---

[9]
Compound: Zr2NbPd
Source: the Alexandria database
Functional: GGA-PBE
Structure: optimized geometry

## Properties
Formation energy from the elements   -248 meV/atom
Theoretical density   8.26 g/cm³
Energy above the lowest structure with this stoichiometry   0.0970 eV/atom
Electronic total energy   -8.338 eV/atom

```
data_Zr2NbPd
_chemical_formula_sum 'Zr8 Nb4 Pd4'
_cell_length_a 6.746
_cell_length_b 6.746
_cell_length_c 6.746
_cell_angle_alpha 90.00
_cell_angle_beta 90.00
_cell_angle_gamma 90.00
_symmetry_space_group_name_H-M 'F m -3 m'
_symmetry_Int_Tables_number 225
_symmetry_space_group_name_Hall '-F 4 2 3'
loop_
_atom_site_label
_atom_site_type_symbol
_atom_site_fract_x
_atom_site_fract_y
_atom_site_fract_z
Zr1 Zr 0.250 0.250 0.250
Nb1 Nb 0.000 0.000 0.000
Pd1 Pd 0.000 0.000 0.500
```

---

[10]
Compound: ZrNb3Pd
Source: the Alexandria database
Functional: GGA-PBE
Structure: optimized geometry

## Properties
Formation energy from the elements   1673 meV/atom
Theoretical density   6.89 g/cm³
Energy above the lowest structure with this stoichiometry   0.5921 eV/atom
Electronic total energy   -7.117 eV/atom

```
data_ZrNb3Pd
_chemical_formula_sum 'Zr1 Nb3 Pd1'
_cell_length_a 4.860
_cell_length_b 4.860
_cell_length_c 4.860
_cell_angle_alpha 90.00
_cell_angle_beta 90.00
_cell_angle_gamma 90.00
_symmetry_space_group_name_H-M 'P m -3 m'
_symmetry_Int_Tables_number 221
_symmetry_space_group_name_Hall '-P 4 2 3'
loop_
_atom_site_label
_atom_site_type_symbol
_atom_site_fract_x
_atom_site_fract_y
_atom_site_fract_z
Zr1 Zr 0.000 0.000 0.000
Nb1 Nb 0.000 0.000 0.500
Pd1 Pd 0.500 0.500 0.500
```

---

[11]
Compound: Zr2NbPd9
Source: the Alexandria database
Functional: GGA-PBE
Structure: optimized geometry

## Properties
Formation energy from the elements   -612 meV/atom
Theoretical density   10.52 g/cm³
Electronic total energy   -6.770 eV/atom

```
data_Zr2NbPd9
_chemical_formula_sum 'Zr2 Nb1 Pd9'
_cell_length_a 4.018
_cell_length_b 4.018
_cell_length_c 12.059
_cell_angle_alpha 90.00
_cell_angle_beta 90.00
_cell_angle_gamma 90.00
_symmetry_space_group_name_H-M 'P 4/m m m'
_symmetry_Int_Tables_number 123
_symmetry_space_group_name_Hall '-P 4 2'
loop_
_atom_site_label
_atom_site_type_symbol
_atom_site_fract_x
_atom_site_fract_y
_atom_site_fract_z
Zr1 Zr 0.000 0.000 0.168
Nb1 Nb 0.000 0.000 0.500
Pd1 Pd 0.000 0.500 0.000
Pd2 Pd 0.000 0.500 0.336
Pd3 Pd 0.500 0.500 0.168
Pd4 Pd 0.500 0.500 0.500
```

---

[12]
Compound: Zr4NbPd3
Source: the Alexandria database
Functional: GGA-PBE
Structure: optimized geometry

## Properties
Formation energy from the elements   -445 meV/atom
Theoretical density   8.38 g/cm³
Electronic total energy   -7.925 eV/atom

```
data_Zr4NbPd3
_chemical_formula_sum 'Zr4 Nb1 Pd3'
_cell_length_a 3.366
_cell_length_b 3.366
_cell_length_c 13.595
_cell_angle_alpha 90.00
_cell_angle_beta 90.00
_cell_angle_gamma 90.00
_symmetry_space_group_name_H-M 'P 4/m m m'
_symmetry_Int_Tables_number 123
_symmetry_space_group_name_Hall '-P 4 2'
loop_
_atom_site_label
_atom_site_type_symbol
_atom_site_fract_x
_atom_site_fract_y
_atom_site_fract_z
Zr1 Zr 0.000 0.000 0.122
Zr2 Zr 0.000 0.000 0.374
Nb1 Nb 0.500 0.500 0.500
Pd1 Pd 0.500 0.500 0.000
Pd2 Pd 0.500 0.500 0.247
```

---

Question: Look up the electronic total energy of the eleventh one.
Answer: -6.770 eV/atom